Here is an optimized crystal structure of Cs2CrBP from Alexandria. Energies are from PBE.

Calculated values
calculated formation energy: 1.01 eV/atom
symmetry: P4/mmm, No. 123
DOS at the Fermi energy: 5.012 states/eV/cell

```
data_Cs2CrBP
_chemical_formula_sum 'Cs2 Cr1 B1 P1'
_space_group_name_H-M_alt 'P 1'
_space_group_IT_number 1
_cell_length_a 7.031
_cell_length_b 4.525
_cell_length_c 7.031
_cell_angle_alpha 90.00
_cell_angle_beta 90.00
_cell_angle_gamma 90.00
loop_
_space_group_symop_operation_xyz
'x,y,z'
loop_
_atom_site_label
_atom_site_type_symbol
_atom_site_fract_x
_atom_site_fract_y
_atom_site_fract_z
Cs1 Cs 0.000 0.000 0.500
Cs2 Cs 0.500 0.000 0.000
P1 P 0.000 0.000 0.000
B1 B 0.500 0.500 0.500
Cr1 Cr 0.000 0.500 0.000
```

***

Here is an optimized crystal structure of CrCuB2 from Alexandria. Energies are from PBE.

Calculated values
calculated formation energy: 0.49 eV/atom
symmetry: Fm-3m, No. 225
DOS at the Fermi energy: 2.333 states/eV/cell
excess energy over the best structure of this formula in the dataset: 0.000 eV per atom

```
data_CrCuB2
_chemical_formula_sum 'Cr1 Cu1 B2'
_space_group_name_H-M_alt 'P 1'
_space_group_IT_number 1
_cell_length_a 3.649
_cell_length_b 3.649
_cell_length_c 3.649
_cell_angle_alpha 60.00
_cell_angle_beta 60.00
_cell_angle_gamma 60.00
loop_
_space_group_symop_operation_xyz
'x,y,z'
loop_
_atom_site_label
_atom_site_type_symbol
_atom_site_fract_x
_atom_site_fract_y
_atom_site_fract_z
B1 B 0.250 0.250 0.250
B2 B 0.750 0.750 0.750
Cu1 Cu 0.500 0.500 0.500
Cr1 Cr 0.000 0.000 0.000
```

***

Here is an optimized crystal structure of Cr3CuB from Alexandria. Energies are from PBE.

Calculated values
calculated formation energy: 0.41 eV/atom
symmetry: Pm-3m, No. 221
DOS at the Fermi energy: 5.765 states/eV/cell
excess energy over the best structure of this formula in the dataset: 0.000 eV per atom

```
data_Cr3CuB
_chemical_formula_sum 'Cr3 Cu1 B1'
_space_group_name_H-M_alt 'P 1'
_space_group_IT_number 1
_cell_length_a 3.872
_cell_length_b 3.872
_cell_length_c 3.872
_cell_angle_alpha 90.00
_cell_angle_beta 90.00
_cell_angle_gamma 90.00
loop_
_space_group_symop_operation_xyz
'x,y,z'
loop_
_atom_site_label
_atom_site_type_symbol
_atom_site_fract_x
_atom_site_fract_y
_atom_site_fract_z
Cu1 Cu 0.500 0.500 0.500
B1 B 0.000 0.000 0.000
Cr1 Cr 0.000 0.500 0.000
Cr2 Cr 0.500 0.000 0.000
Cr3 Cr 0.000 0.000 0.500
```

***

Here is an optimized crystal structure of CrCuB2 from Alexandria. Energies are from PBE.

Calculated values
calculated formation energy: 0.61 eV/atom
symmetry: I-42d, No. 122
DOS at the Fermi energy: 6.525 states/eV/cell
excess energy over the best structure of this formula in the dataset: 0.118 eV per atom

```
data_CrCuB2
_chemical_formula_sum 'Cr2 Cu2 B4'
_space_group_name_H-M_alt 'P 1'
_space_group_IT_number 1
_cell_length_a 5.506
_cell_length_b 5.506
_cell_length_c 4.632
_cell_angle_alpha 53.54
_cell_angle_beta 53.54
_cell_angle_gamma 90.00
loop_
_space_group_symop_operation_xyz
'x,y,z'
loop_
_atom_site_label
_atom_site_type_symbol
_atom_site_fract_x
_atom_site_fract_y
_atom_site_fract_z
B1 B 0.629 0.125 0.250
B2 B 0.375 0.371 0.750
B3 B 0.121 0.625 0.250
B4 B 0.875 0.879 0.750
Cr1 Cr 0.500 0.500 0.000
Cr2 Cr 0.250 0.750 0.500
Cu1 Cu 0.750 0.250 0.500
Cu2 Cu 0.000 0.000 0.000
```

***

Question: calculated formation energy of number 3 (Cr3CuB)?
Answer: 0.41 eV/atom

***

Question: calculated formation energy of number 3 (Cr3CuB)?
Answer: 0.41 eV/atom

***

What did the first record say?
Here is an optimized crystal structure of Cs2CrBP from Alexandria. Energies are from PBE.

Calculated values
calculated formation energy: 1.01 eV/atom
symmetry: P4/mmm, No. 123
DOS at the Fermi energy: 5.012 states/eV/cell

```
data_Cs2CrBP
_chemical_formula_sum 'Cs2 Cr1 B1 P1'
_space_group_name_H-M_alt 'P 1'
_space_group_IT_number 1
_cell_length_a 7.031
_cell_length_b 4.525
_cell_length_c 7.031
_cell_angle_alpha 90.00
_cell_angle_beta 90.00
_cell_angle_gamma 90.00
loop_
_space_group_symop_operation_xyz
'x,y,z'
loop_
_atom_site_label
_atom_site_type_symbol
_atom_site_fract_x
_atom_site_fract_y
_atom_site_fract_z
Cs1 Cs 0.000 0.000 0.500
Cs2 Cs 0.500 0.000 0.000
P1 P 0.000 0.000 0.000
B1 B 0.500 0.500 0.500
Cr1 Cr 0.000 0.500 0.000
```